(1)
First-principles (PBE) data for a geometry-optimized TaNbSiNi structure, as listed in the Open Quantum Materials Database.

Cell and atoms, written as extended XYZ:
```
4
Lattice="0.0000 3.1105 3.1105 3.1105 0.0000 3.1105 3.1105 3.1105 0.0000" Properties=species:S:1:pos:R:3 pbc="T T T"
Ta 0.0000 0.0000 0.0000
Nb 1.5553 1.5553 1.5553
Si 3.1105 3.1105 3.1105
Ni 4.6658 4.6658 4.6658
```

Computed properties:
M_tot (μB/f.u.): 0.0
Space group: F-43m, No. 216

(2)
First-principles (PBE) data for a geometry-optimized Pm2Ho3Nb4 structure, as listed in the Open Quantum Materials Database.

Cell and atoms, written as extended XYZ:
```
9
Lattice="8.8597 0.0000 0.0000 -4.4298 7.6727 0.0000 0.0000 0.0000 3.2168" Properties=species:S:1:pos:R:3 pbc="T T T"
Pm 0.0000 0.0000 0.0000
Pm 0.0000 5.1151 1.6084
Ho 1.6623 2.4820 1.6084
Ho 5.8791 0.1986 1.6084
Ho 5.7481 4.9921 1.6084
Nb 3.0480 0.0549 0.0000
Nb 2.9534 5.0056 0.0000
Nb 4.4298 2.5576 0.0000
Nb 7.2881 2.6122 0.0000
```

Computed properties:
M_tot (μB/f.u.): 0.3
Space group: P-6, No. 174

(3)
First-principles (PBE) data for a geometry-optimized KGa2Au2 structure, as listed in the Open Quantum Materials Database.

Cell and atoms, written as extended XYZ:
```
5
Lattice="-2.3055 2.3055 5.5112 2.3055 -2.3055 5.5112 2.3055 2.3055 -5.5112" Properties=species:S:1:pos:R:3 pbc="T T T"
K 0.0000 0.0000 0.0000
Ga 2.3055 0.0000 2.7556
Ga 0.0000 2.3055 2.7556
Au 0.0000 0.0000 4.0887
Au 0.0000 0.0000 6.9336
```

Computed properties:
Space group: I4/mmm, No. 139

(4)
First-principles (PBE) data for a geometry-optimized SrFe2Se3 structure, as listed in the Open Quantum Materials Database.

Cell and atoms, written as extended XYZ:
```
24
Lattice="5.2102 0.0000 0.0000 0.0000 8.9550 0.0000 -0.2674 0.0000 12.1130" Properties=species:S:1:pos:R:3 pbc="T T T"
Sr 1.1697 0.2097 3.9704
Sr 1.0360 4.2678 10.0269
Sr 3.9068 4.6872 2.0860
Sr 3.7731 8.7454 8.1425
Fe -0.1165 5.7525 6.2156
Fe 0.0172 7.6801 0.1591
Fe 2.3354 1.2746 11.9640
Fe 2.4691 3.2029 5.9075
Fe 2.4737 5.7521 6.2054
Fe 2.6074 7.6805 0.1490
Fe 4.9256 1.2749 11.9539
Fe 5.0593 3.2026 5.8974
Se 1.1658 4.6626 4.4366
Se 1.0321 8.7699 10.4930
Se 1.1575 1.4427 6.9601
Se 1.2913 3.0348 0.9037
Se 1.3182 6.6908 1.9555
Se 1.1845 6.7418 8.0120
Se 3.7583 2.2133 4.1010
Se 3.6246 2.2643 10.1575
Se 3.6515 5.9202 11.2093
Se 3.7853 7.5124 5.1528
Se 3.9107 0.1851 1.6199
Se 3.7770 4.2924 7.6764
```

Computed properties:
M_tot (μB/f.u.): 6.8
Space group: P2_1/c, No. 14

(5)
First-principles (PBE) data for a geometry-optimized PmBiS2I2 structure, as listed in the Open Quantum Materials Database.

Cell and atoms, written as extended XYZ:
```
6
Lattice="4.6968 0.0000 0.0000 0.0000 4.6968 0.0000 0.0000 0.0000 8.0661" Properties=species:S:1:pos:R:3 pbc="T T T"
Pm 0.0000 0.0000 0.0000
Bi 2.3484 2.3484 3.0282
S 0.0000 2.3484 1.5956
S 2.3484 0.0000 1.5956
I 0.0000 0.0000 4.7244
I 2.3484 2.3484 6.8416
```

Computed properties:
M_tot (μB/f.u.): 0.0
Space group: P4mm, No. 99

(6)
First-principles (PBE) data for a geometry-optimized KTmO3 structure, as listed in the Open Quantum Materials Database.

Cell and atoms, written as extended XYZ:
```
5
Lattice="3.8240 0.0000 0.0000 0.0000 3.8240 0.0000 0.0000 0.0000 5.3263" Properties=species:S:1:pos:R:3 pbc="T T T"
K 0.0000 0.0000 0.0000
Tm 1.9120 1.9120 2.4209
O 0.0000 0.0000 3.1026
O 0.0000 1.9120 1.4431
O 1.9120 0.0000 1.4431
```

Computed properties:
M_tot (μB/f.u.): 0.0
Space group: P4mm, No. 99

| no. | electronic total energy (eV/atom) |
| --- | --- |
| 1 | -8.19 |
| 2 | -6.71 |
| 3 | -3.04 |
| 4 | -5.54 |
| 5 | -4.39 |
| 6 | -5.42 |